The following is a PBE calculation of an optimized crystal structure of LiYGe, from Alexandria via LeMat-Bulk.

Values from the calculation:
Formation energy from the elements   -365 meV per atom
Crystal system   monoclinic
Size of the total moment   0.0 μB per formula unit
Uncorrected energy   -4.70 eV per atom

The structure in CIF format:
```
data_LiYGe
_chemical_formula_sum 'Li4 Y4 Ge4'
_cell_length_a 14.652
_cell_length_b 4.014
_cell_length_c 4.514
_cell_angle_alpha 90.00
_cell_angle_beta 102.24
_cell_angle_gamma 90.00
_symmetry_space_group_name_H-M 'C 1 m 1'
_symmetry_Int_Tables_number 8
loop_
_symmetry_equiv_pos_as_xyz
'x,y,z'
'x,-y,z'
'x+1/2,y+1/2,z'
'x+1/2,-y+1/2,z'
loop_
_atom_site_label
_atom_site_fract_x
_atom_site_fract_y
_atom_site_fract_z
Li1 0.000 0.000 0.000
Li2 0.109 0.500 0.170
Y1 0.254 0.500 0.804
Y2 0.433 0.000 0.465
Ge1 0.089 0.000 0.563
Ge2 0.234 0.000 0.304
```

=====

The following is a PBE calculation of an optimized crystal structure of LiYGe, from Alexandria via LeMat-Bulk.

Values from the calculation:
Formation energy from the elements   -391 meV per atom
Crystal system   monoclinic
Size of the total moment   0.0 μB per formula unit
Uncorrected energy   -4.72 eV per atom

The structure in CIF format:
```
data_LiYGe
_chemical_formula_sum 'Li4 Y4 Ge4'
_cell_length_a 9.779
_cell_length_b 5.919
_cell_length_c 6.737
_cell_angle_alpha 90.00
_cell_angle_beta 133.53
_cell_angle_gamma 90.00
_symmetry_space_group_name_H-M 'C 1 m 1'
_symmetry_Int_Tables_number 8
loop_
_symmetry_equiv_pos_as_xyz
'x,y,z'
'x,-y,z'
'x+1/2,y+1/2,z'
'x+1/2,-y+1/2,z'
loop_
_atom_site_label
_atom_site_fract_x
_atom_site_fract_y
_atom_site_fract_z
Li1 0.000 0.000 0.000
Li2 0.003 0.500 0.352
Y1 0.147 0.000 0.632
Y2 0.148 0.500 0.015
Ge1 0.344 0.246 0.518
```

=====

The following is a PBE calculation of an optimized crystal structure of LiYGe, from Alexandria via LeMat-Bulk.

Values from the calculation:
Formation energy from the elements   -616 meV per atom
Crystal system   orthorhombic
Size of the total moment   0.0 μB per formula unit
Uncorrected energy   -4.95 eV per atom

The structure in CIF format:
```
data_LiYGe
_chemical_formula_sum 'Li6 Y6 Ge6'
_cell_length_a 12.520
_cell_length_b 4.284
_cell_length_c 7.047
_cell_angle_alpha 90.00
_cell_angle_beta 90.00
_cell_angle_gamma 90.00
_symmetry_space_group_name_H-M 'P m m a'
_symmetry_Int_Tables_number 51
loop_
_symmetry_equiv_pos_as_xyz
'x,y,z'
'-x,-y,-z'
'-x+1/2,-y,z'
'x+1/2,y,-z'
'x+1/2,-y,-z'
'-x+1/2,y,z'
'-x,y,-z'
'x,-y,z'
loop_
_atom_site_label
_atom_site_fract_x
_atom_site_fract_y
_atom_site_fract_z
Li1 0.135 0.000 0.073
Li2 0.250 0.000 0.730
Y1 0.040 0.500 0.748
Y2 0.250 0.500 0.376
Ge1 0.098 0.000 0.453
Ge2 0.250 0.500 0.956
```